(1)
## RbAg2Sn2 (PBE)

Data for RbAg2Sn2 after structural relaxation. Values from VASP.

Quantum ESPRESSO input file:
```
&SYSTEM
  ibrav = 0, nat = 10, ntyp = 3
/
ATOMIC_SPECIES
Rb 85.47 Rb.upf
Ag 107.87 Ag.upf
Sn 118.71 Sn.upf
ATOMIC_POSITIONS crystal
Rb 0.875 0.750 0.250
Rb 0.125 0.250 0.750
Ag 0.574 0.353 0.250
Ag 0.823 0.853 0.750
Ag 0.177 0.147 0.250
Ag 0.426 0.647 0.750
Sn 0.486 0.750 0.027
Sn 0.737 0.249 0.528
Sn 0.514 0.250 0.973
Sn 0.263 0.751 0.472
CELL_PARAMETERS angstrom
-3.145 6.757 1.520
-1.662 1.977 6.811
4.621 6.098 1.477
```

Output
VASP energy (eV/cell): -29.7
Symmetry: C2/c
E above lowest polymorph (kJ/mol of formula units): 29
ρ (g/cm³): 5.6

=====

(2)
## PrFeIr (PBE)

Data for PrFeIr after structural relaxation. Values from VASP.

Quantum ESPRESSO input file:
```
&SYSTEM
  ibrav = 0, nat = 3, ntyp = 3
/
ATOMIC_SPECIES
Pr 140.91 Pr.upf
Ir 192.22 Ir.upf
Fe 55.84 Fe.upf
ATOMIC_POSITIONS crystal
Pr 0.667 0.333 0.667
Ir 0.167 0.667 0.333
Fe 0.167 0.000 0.000
CELL_PARAMETERS angstrom
-3.804 1.500 -1.289
-1.903 -2.589 2.603
1.066 3.790 1.265
```

Output
VASP energy (eV/cell): -23.0
Symmetry: P-6m2
ρ (g/cm³): 10.2

=====

(3)
## TlCu2Mo (PBE)

Data for TlCu2Mo after structural relaxation. Values from VASP.

Quantum ESPRESSO input file:
```
&SYSTEM
  ibrav = 0, nat = 4, ntyp = 3
/
ATOMIC_SPECIES
Cu 63.55 Cu.upf
Mo 95.94 Mo.upf
Tl 204.38 Tl.upf
ATOMIC_POSITIONS crystal
Cu 0.000 0.000 0.000
Cu 0.500 0.500 0.000
Mo 0.500 0.000 0.500
Tl 0.000 0.500 0.500
CELL_PARAMETERS angstrom
-0.513 3.642 1.667
-3.095 0.706 -2.495
-2.435 -1.528 2.589
```

Output
VASP energy (eV/cell): -19.5
Symmetry: P4/mmm
E above lowest polymorph (kJ/mol of formula units): 22
ρ (g/cm³): 11.3

=====

- ρ of number 1 (RbAg2Sn2)?
  5.6 g/cm³